No. 1
VASP calculation (GGA-PBE) on a relaxed structure of ZrZn2Fe2.

Values from the calculation:
**Formation enthalpy at 0 K**: 14 meV/atom
**Calculated volume**: 146.7 Å³ per cell
**Total DFT energy (no corrections)**: -5.5899 eV per atom
**Magnetic moment**: 8.6 μB/cell

Lattice parameters (Å, degrees): 7.3905 7.3905 2.6853 90.00 90.00 90.00
Last column: nearest neighbours and their distance in Å.
Positions (direct):
Zn1 0.1780 0.6780 0.5000  6 Fe 2.55-2.59, 2 Zn 2.69
Zn2 0.6780 0.8220 0.5000  6 Fe 2.55-2.59, 2 Zn 2.69
Zn3 0.8220 0.3220 0.5000  6 Fe 2.55-2.59, 2 Zn 2.69
Zn4 0.3220 0.1780 0.5000  6 Fe 2.55-2.59, 2 Zn 2.69
Fe1 0.3850 0.8850 0.0000  3 Fe 2.40-2.69, 6 Zn 2.55-2.59
Fe2 0.8850 0.6150 0.0000  3 Fe 2.40-2.69, 6 Zn 2.55-2.59
Fe3 0.6150 0.1150 0.0000  3 Fe 2.40-2.69, 6 Zn 2.55-2.59
Fe4 0.1150 0.3850 0.0000  3 Fe 2.40-2.69, 6 Zn 2.55-2.59
Zr1 0.0000 0.0000 0.0000  2 Zr 2.69, 4 Fe 2.97
Zr2 0.5000 0.5000 0.0000  2 Zr 2.69, 4 Fe 2.97


No. 2
VASP calculation (GGA-PBE) on a relaxed structure of ReSb2SeN.

Values from the calculation:
**Calculated volume**: 104.6 Å³ per cell
**Total DFT energy (no corrections)**: -4.8584 eV per atom
**Magnetic moment**: 2.4 μB/cell
**Formation energy (no corrections)**: 8.2 eV/f.u.

Lattice parameters (Å, degrees): 5.4022 3.5851 5.4022 90.00 90.00 90.00
Last column: nearest neighbours and their distance in Å.
Positions (direct):
Re1 0.5000 0.5000 0.5000  8 Sb 3.24, 2 Re 3.59
N1 0.0000 0.5000 0.0000  2 Se 1.79
Se1 0.0000 0.0000 0.0000  2 N 1.79
Sb1 0.0000 0.0000 0.5000  2 Se 2.70
Sb2 0.5000 0.0000 0.0000  2 Se 2.70


No. 3
VASP calculation (GGA-PBE) on a relaxed structure of Mg2AlRu.

Values from the calculation:
**Formation enthalpy at 0 K**: 87 meV/atom
**Calculated volume**: 68.6 Å³ per cell
**Total DFT energy (no corrections)**: -3.9649 eV per atom
**Magnetic moment**: 0.0 μB/cell

Lattice parameters (Å, degrees): 9.2600 9.2600 9.2600 18.33 18.33 18.33
Last column: nearest neighbours and their distance in Å.
Positions (direct):
Al1 0.7500 0.7500 0.7500  6 Al 2.95, 6 Mg 2.95
Mg1 0.9950 0.9950 0.9950  3 Ru 2.73, 6 Mg 2.95, 3 Al 2.95
Mg2 0.5050 0.5050 0.5050  3 Ru 2.73, 6 Mg 2.95, 3 Al 2.95
Ru1 0.2500 0.2500 0.2500  6 Mg 2.73, 6 Ru 2.95


No. 4
VASP calculation (GGA-PBE) on a relaxed structure of PrMgPb.

Values from the calculation:
**Formation enthalpy at 0 K**: -363 meV/atom
**Calculated volume**: 84.7 Å³ per cell
**Total DFT energy (no corrections)**: -3.7239 eV per atom
**Magnetic moment**: 0.0 μB/cell

Lattice parameters (Å, degrees): 3.8952 5.0117 5.0117 120.00 90.00 90.00
Last column: nearest neighbours and their distance in Å.
Positions (direct):
Pb1 0.1771 0.3333 0.6667  3 Mg 2.89
Pr1 0.6649 0.6667 0.3333  6 Pb 3.46-3.51, 6 Mg 3.47-3.50
Mg1 0.1580 0.0000 0.0000  3 Pb 2.89


No. 5
VASP calculation (GGA-PBE) on a relaxed structure of Co2TcAs.

Values from the calculation:
**Formation enthalpy at 0 K**: 113 meV/atom
**Calculated volume**: 49.6 Å³ per cell
**Total DFT energy (no corrections)**: -7.1938 eV per atom
**Magnetic moment**: 0.0 μB/cell

Lattice parameters (Å, degrees): 4.5268 4.5268 4.5268 132.43 132.43 69.55
Last column: nearest neighbours and their distance in Å.
Positions (direct):
As1 0.7500 0.2500 0.5000  4 Tc 2.58, 8 Co 2.61
Co1 0.0000 0.0000 0.0000  4 Co 2.58, 4 Tc 2.61, 4 As 2.61
Co2 0.5000 0.5000 0.0000  4 Co 2.58, 4 As 2.61, 4 Tc 2.61
Tc1 0.2500 0.7500 0.5000  4 As 2.58, 8 Co 2.61


No. 6
VASP calculation (GGA-PBE) on a relaxed structure of IrC2.

Values from the calculation:
**ΔE to the lowest computed polymorph**: 0.526 eV/atom
**Formation enthalpy at 0 K**: 1115 meV/atom
**Calculated volume**: 66.9 Å³ per cell
**Total DFT energy (no corrections)**: -7.9875 eV per atom
**Magnetic moment**: 0.0 μB/cell

Lattice parameters (Å, degrees): 4.9579 4.9579 2.9729 90.00 90.00 113.74
Last column: nearest neighbours and their distance in Å.
Positions (direct):
Ir1 0.1506 0.8494 0.7500  6 C 2.06-2.25
Ir2 0.8494 0.1506 0.2500  6 C 2.06-2.25
C1 0.5415 0.2163 0.7500  1 C 1.31
C2 0.4585 0.7837 0.2500  1 C 1.31
C3 0.7837 0.4585 0.7500  1 C 1.31
C4 0.2163 0.5415 0.2500  1 C 1.31


No. 7
VASP calculation (GGA-PBE) on a relaxed structure of TcCl2.

Values from the calculation:
**ΔE to the lowest computed polymorph**: 0.360 eV/atom
**Calculated volume**: 67.3 Å³ per cell
**Total DFT energy (no corrections)**: -4.8835 eV per atom
**Magnetic moment**: 1.0 μB/cell
**Formation energy (no corrections)**: -0.6 eV/f.u.

Lattice parameters (Å, degrees): 3.4514 3.4515 6.5254 89.99 90.00 120.00
Last column: nearest neighbours and their distance in Å.
Positions (direct):
Tc1 0.0000 0.0000 0.0000  6 Cl 2.46
Cl1 0.6667 0.3334 0.2200  3 Tc 2.46
Cl2 0.3333 0.6666 0.7800  3 Tc 2.46


No. 8
VASP calculation (GGA-PBE) on a relaxed structure of Nd4AgAu3.

Values from the calculation:
**Formation enthalpy at 0 K**: -663 meV/atom
**Calculated volume**: 213.3 Å³ per cell
**Total DFT energy (no corrections)**: -4.6327 eV per atom
**Magnetic moment**: 0.0 μB/cell

Lattice parameters (Å, degrees): 3.8901 4.8257 11.3618 90.00 90.00 90.00
Last column: nearest neighbours and their distance in Å.
Positions (direct):
Nd1 0.5000 0.5000 0.3649  6 Au 3.15-3.18, 1 Ag 3.22
Nd2 0.0000 0.5000 0.8591  5 Au 3.10-3.17, 2 Ag 3.19
Nd3 0.0000 0.0000 0.1388  3 Au 3.13-3.18, 4 Ag 3.17
Nd4 0.5000 0.0000 0.6377  7 Au 3.15-3.19
Ag1 0.5000 0.5000 0.0818  2 Au 3.05, 7 Nd 3.17-3.22
Au1 0.0000 0.5000 0.5861  2 Au 3.10, 7 Nd 3.10-3.18
Au2 0.0000 0.0000 0.4146  2 Au 3.10, 7 Nd 3.13-3.19
Au3 0.5000 0.0000 0.9170  2 Ag 3.05, 7 Nd 3.17-3.18